(1)
First-principles (SCAN) data for ScZnRe2 at its PBEsol-relaxed geometry, as listed in Alexandria.

Cell lengths 3.760, 3.760, 8.774 Å; angles 90.00, 90.00, 90.00 degrees
Space group I4/mmm (No. 139)
Asymmetric unit:
1 Sc 0.000 0.000 0.000 [2 per cell]
2 Zn 0.000 0.000 0.500 [2 per cell]
3 Re 0.000 0.500 0.250 [4 per cell]

Computed properties:
Formation energy from the elements   101 meV per atom
Crystal system   tetragonal

***

(2)
First-principles (SCAN) data for ScZn4Re at its PBEsol-relaxed geometry, as listed in Alexandria.

Cell lengths 6.982, 6.982, 6.982 Å; angles 90.00, 90.00, 90.00 degrees
Space group F-43m (No. 216)
Asymmetric unit:
1 Sc 0.000 0.000 0.000 [4 per cell]
2 Zn 0.124 0.124 0.624 [16 per cell]
3 Re 0.250 0.250 0.250 [4 per cell]

Computed properties:
Formation energy from the elements   -184 meV per atom
Crystal system   cubic

***

(3)
First-principles (SCAN) data for ScZn2Re2 at its PBEsol-relaxed geometry, as listed in Alexandria.

Cell lengths 3.664, 3.664, 11.940 Å; angles 90.00, 90.00, 90.00 degrees
Space group I4/mmm (No. 139)
Asymmetric unit:
1 Sc 0.000 0.000 0.000 [2 per cell]
2 Zn 0.000 0.000 0.404 [4 per cell]
3 Re 0.000 0.500 0.250 [4 per cell]

Computed properties:
Formation energy from the elements   -50 meV per atom
Crystal system   tetragonal